Record 1
Material: Mn2AlOs
Method: DFT, meta-GGA SCAN
State: PBEsol geometry

Computed properties:
Space-group type: R-3m
Calculated formation energy, eV per atom: -0.055
Uncorrected energy, eV per atom: -29.09

Cell and atoms, written as POSCAR:
```
Mn2AlOs
1.0
1.318 0.761 8.293
-1.318 0.761 8.293
0.000 -1.522 8.293
Mn Al Os
2 1 1
Direct
0.250 0.250 0.250
0.750 0.750 0.750
0.500 0.500 0.500
0.000 0.000 0.000
```


Record 2
Material: Mn2AlOs
Method: DFT, meta-GGA SCAN
State: PBEsol geometry

Computed properties:
Space-group type: F-43m
Calculated formation energy, eV per atom: -0.349
Uncorrected energy, eV per atom: -29.38

Cell and atoms, written as POSCAR:
```
Mn2AlOs
1.0
0.000 2.908 2.908
2.908 0.000 2.908
2.908 2.908 0.000
Mn Al Os
2 1 1
Direct
0.000 0.000 0.000
0.250 0.250 0.250
0.500 0.500 0.500
0.750 0.750 0.750
```


Record 3
Material: Mn2AlOs
Method: DFT, meta-GGA SCAN
State: PBEsol geometry

Computed properties:
Space-group type: I4/mmm
Calculated formation energy, eV per atom: -0.244
Uncorrected energy, eV per atom: -29.28

Cell and atoms, written as POSCAR:
```
Mn2AlOs
1.0
-1.853 1.853 3.655
1.853 -1.853 3.655
1.853 1.853 -3.655
Mn Al Os
2 1 1
Direct
0.250 0.750 0.500
0.750 0.250 0.500
0.000 0.000 0.000
0.500 0.500 0.000
```


Record 4
Material: MnAl2Os
Method: DFT, meta-GGA SCAN
State: PBEsol geometry

Computed properties:
Space-group type: C2/m
Calculated formation energy, eV per atom: -0.297
Uncorrected energy, eV per atom: -26.71

Cell and atoms, written as POSCAR:
```
MnAl2Os
1.0
2.650 -4.083 0.000
2.650 4.083 0.000
-1.087 0.000 2.465
Mn Al Os
1 2 1
Direct
0.000 0.000 0.000
0.000 0.500 0.500
0.500 0.000 0.500
0.500 0.500 0.000
```


Record 5
Material: Mn4AlOs
Method: DFT, meta-GGA SCAN
State: PBEsol geometry

Computed properties:
Space-group type: F-43m
Calculated formation energy, eV per atom: 0.013
Uncorrected energy, eV per atom: -25.43

Cell and atoms, written as POSCAR:
```
Mn4AlOs
1.0
0.000 3.257 3.257
3.257 0.000 3.257
3.257 3.257 0.000
Mn Al Os
4 1 1
Direct
0.123 0.123 0.123
0.123 0.123 0.632
0.123 0.632 0.123
0.632 0.123 0.123
0.750 0.750 0.750
0.500 0.500 0.500
```


Record 6
Material: Mn2AlOs
Method: DFT, meta-GGA SCAN
State: PBEsol geometry

Computed properties:
Space-group type: P4mm
Calculated formation energy, eV per atom: -0.286
Uncorrected energy, eV per atom: -29.32

Cell and atoms, written as POSCAR:
```
Mn2AlOs
1.0
2.853 0.000 0.000
0.000 2.853 0.000
0.000 0.000 5.926
Mn Al Os
2 1 1
Direct
0.000 0.000 0.000
0.500 0.500 0.216
0.500 0.500 0.751
0.000 0.000 0.477
```


Record 7
Material: MnAl2Os
Method: DFT, meta-GGA SCAN
State: PBEsol geometry

Computed properties:
Space-group type: P4/mmm
Calculated formation energy, eV per atom: -0.566
Uncorrected energy, eV per atom: -26.98

Cell and atoms, written as POSCAR:
```
MnAl2Os
1.0
4.136 0.000 0.000
0.000 4.136 0.000
0.000 0.000 3.072
Mn Al Os
1 2 1
Direct
0.000 0.000 0.000
0.000 0.500 0.500
0.500 0.000 0.500
0.500 0.500 0.000
```


Record 8
Material: Mn2AlOs
Method: DFT, meta-GGA SCAN
State: PBEsol geometry

Computed properties:
Space-group type: R3m
Calculated formation energy, eV per atom: -0.072
Uncorrected energy, eV per atom: -29.11

Cell and atoms, written as POSCAR:
```
Mn2AlOs
1.0
1.325 0.765 8.161
-1.325 0.765 8.161
0.000 -1.529 8.161
Mn Al Os
2 1 1
Direct
0.000 0.000 0.000
0.258 0.258 0.258
0.508 0.508 0.508
0.750 0.750 0.750
```


Record 9
Material: MnAl2P
Method: DFT, meta-GGA SCAN
State: PBEsol geometry

Computed properties:
Space-group type: R-3m
Calculated formation energy, eV per atom: -0.050
Uncorrected energy, eV per atom: -11.09

Cell and atoms, written as POSCAR:
```
MnAl2P
1.0
1.414 0.816 7.892
-1.414 0.816 7.892
0.000 -1.633 7.892
Mn Al P
1 2 1
Direct
0.000 0.000 0.000
0.253 0.253 0.253
0.747 0.747 0.747
0.500 0.500 0.500
```


Record 10
Material: MnAl2P
Method: DFT, meta-GGA SCAN
State: PBEsol geometry

Computed properties:
Space-group type: I-4m2
Calculated formation energy, eV per atom: -0.105
Uncorrected energy, eV per atom: -11.14

Cell and atoms, written as POSCAR:
```
MnAl2P
1.0
-1.839 1.839 3.981
1.839 -1.839 3.981
1.839 1.839 -3.981
Mn Al P
1 2 1
Direct
0.000 0.000 0.000
0.250 0.750 0.500
0.500 0.500 0.000
0.750 0.250 0.500
```


Record 11
Material: MnAl2P
Method: DFT, meta-GGA SCAN
State: PBEsol geometry

Computed properties:
Space-group type: P4mm
Calculated formation energy, eV per atom: -0.188
Uncorrected energy, eV per atom: -11.23

Cell and atoms, written as POSCAR:
```
MnAl2P
1.0
2.853 0.000 0.000
0.000 2.853 0.000
0.000 0.000 6.583
Mn Al P
1 2 1
Direct
0.000 0.000 0.000
0.000 0.000 0.428
0.500 0.500 0.745
0.500 0.500 0.154
```


Record 12
Material: Mn2AlPW
Method: DFT, meta-GGA SCAN
State: PBEsol geometry

Computed properties:
Space-group type: P4/mmm
Calculated formation energy, eV per atom: 1.318
Uncorrected energy, eV per atom: -23.55

Cell and atoms, written as POSCAR:
```
Mn2AlPW
1.0
4.495 0.000 0.000
0.000 4.495 0.000
0.000 0.000 4.869
Mn Al P W
2 1 1 1
Direct
0.000 0.500 0.000
0.500 0.000 0.000
0.000 0.000 0.500
0.500 0.500 0.500
0.000 0.000 0.000
```


Which value of uncorrected energy does entry 3 give? -29.28 eV per atom


Which formula does entry 2 have? Mn2AlOs